Version a
## InCoSe2N (PBE)

Data for a relaxed InCoSe2N crystal.

a b c (Å): 5.6198 5.6198 4.2238
angles (deg): 90.00 90.00 90.00
Space group P4/mmm (No. 123)
One atom of each set of equivalent atoms:
In (0.0000, 0.0000, 0.0000)
Co (0.5000, 0.5000, 0.5000)
Se (0.0000, 0.5000, 0.0000)
N (0.0000, 0.0000, 0.5000)


Version b
## InCoSe2N (PBE)

Data for a relaxed InCoSe2N crystal.

a b c (Å): 5.1902 5.1902 3.4522
angles (deg): 90.00 90.00 90.00
Space group P4/mmm (No. 123)
One atom of each set of equivalent atoms:
In (0.0000, 0.0000, 0.0000)
Co (0.5000, 0.5000, 0.5000)
Se (0.0000, 0.5000, 0.5000)
N (0.5000, 0.5000, 0.0000)


version b has the most favorable energy; the next structure is 1.261 eV/atom above.


Version a
## InCoTe2N (PBE)

Data for a relaxed InCoTe2N crystal.

a b c (Å): 5.7268 5.7268 3.8821
angles (deg): 90.00 90.00 90.00
Space group P4/mmm (No. 123)
One atom of each set of equivalent atoms:
In (0.0000, 0.0000, 0.0000)
Co (0.5000, 0.5000, 0.5000)
Te (0.0000, 0.5000, 0.0000)
N (0.0000, 0.0000, 0.5000)


Version b
## InCoTe2N (PBE)

Data for a relaxed InCoTe2N crystal.

a b c (Å): 5.5276 5.5276 3.4537
angles (deg): 90.00 90.00 90.00
Space group P4/mmm (No. 123)
One atom of each set of equivalent atoms:
In (0.0000, 0.0000, 0.0000)
Co (0.5000, 0.5000, 0.5000)
Te (0.0000, 0.5000, 0.5000)
N (0.5000, 0.5000, 0.0000)


version b has the most favorable energy; the next structure is 1.158 eV/atom above.